(1)
# SrReSb2 PBE relaxed
# relative energy among the computed polymorphs = 0.546 eV per atom
data_SrReSb2
_chemical_formula_sum 'Sr1 Re1 Sb2'
_space_group_name_H-M_alt 'P 4/m m m'
_space_group_IT_number 123
_space_group_name_Hall '-P 4 2'
_cell_length_a 4.782
_cell_length_b 4.782
_cell_length_c 4.183
_cell_angle_alpha 90.00
_cell_angle_beta 90.00
_cell_angle_gamma 90.00
loop_
_atom_site_label
_atom_site_type_symbol
_atom_site_fract_x
_atom_site_fract_y
_atom_site_fract_z
Sr1 Sr 0.000 0.000 0.000
Re1 Re 0.500 0.500 0.000
Sb1 Sb 0.000 0.500 0.500

(2)
# SrReSb2 PBE relaxed
# relative energy among the computed polymorphs = 0.169 eV per atom
data_SrReSb2
_chemical_formula_sum 'Sr1 Re1 Sb2'
_space_group_name_H-M_alt 'P 1 m 1'
_space_group_IT_number 6
_cell_length_a 4.491
_cell_length_b 4.580
_cell_length_c 6.775
_cell_angle_alpha 90.00
_cell_angle_beta 109.29
_cell_angle_gamma 90.00
loop_
_space_group_symop_operation_xyz
'x,y,z'
'x,-y,z'
loop_
_atom_site_label
_atom_site_type_symbol
_atom_site_fract_x
_atom_site_fract_y
_atom_site_fract_z
Sr1 Sr 0.000 0.000 0.000
Re1 Re 0.796 0.500 0.590
Sb1 Sb 0.397 0.500 0.794
Sb2 Sb 0.700 0.000 0.401

(3)
# Sr3ReSb PBE relaxed
# relative energy among the computed polymorphs = 0.000 eV per atom
data_Sr3ReSb
_chemical_formula_sum 'Sr3 Re1 Sb1'
_space_group_name_H-M_alt 'P m -3 m'
_space_group_IT_number 221
_space_group_name_Hall '-P 4 2 3'
_cell_length_a 5.663
_cell_length_b 5.663
_cell_length_c 5.663
_cell_angle_alpha 90.00
_cell_angle_beta 90.00
_cell_angle_gamma 90.00
loop_
_atom_site_label
_atom_site_type_symbol
_atom_site_fract_x
_atom_site_fract_y
_atom_site_fract_z
Sr1 Sr 0.000 0.000 0.500
Re1 Re 0.000 0.000 0.000
Sb1 Sb 0.500 0.500 0.500

(4)
# SrReSb2 PBE relaxed
# relative energy among the computed polymorphs = 0.253 eV per atom
data_SrReSb2
_chemical_formula_sum 'Sr4 Re4 Sb8'
_space_group_name_H-M_alt 'F m -3 m'
_space_group_IT_number 225
_space_group_name_Hall '-F 4 2 3'
_cell_length_a 7.114
_cell_length_b 7.114
_cell_length_c 7.114
_cell_angle_alpha 90.00
_cell_angle_beta 90.00
_cell_angle_gamma 90.00
loop_
_atom_site_label
_atom_site_type_symbol
_atom_site_fract_x
_atom_site_fract_y
_atom_site_fract_z
Sr1 Sr 0.000 0.000 0.000
Re1 Re 0.000 0.000 0.500
Sb1 Sb 0.250 0.250 0.250

(5)
# Sr2ReSb PBE relaxed
# E_tot = -37.668 eV for the cell shown
data_Sr2ReSb
_chemical_formula_sum 'Sr4 Re2 Sb2'
_space_group_name_H-M_alt 'C 1 m 1'
_space_group_IT_number 8
_cell_length_a 12.180
_cell_length_b 3.630
_cell_length_c 5.603
_cell_angle_alpha 90.00
_cell_angle_beta 110.18
_cell_angle_gamma 90.00
loop_
_space_group_symop_operation_xyz
'x,y,z'
'x,-y,z'
'x+1/2,y+1/2,z'
'x+1/2,-y+1/2,z'
loop_
_atom_site_label
_atom_site_type_symbol
_atom_site_fract_x
_atom_site_fract_y
_atom_site_fract_z
Sr1 Sr 0.000 0.000 0.000
Sr2 Sr 0.196 0.000 0.644
Re1 Re 0.264 0.500 0.193
Sb1 Sb 0.425 0.000 0.442

(6)
# Sr2ReSb PBE relaxed
# E_tot = -35.689 eV for the cell shown
data_Sr2ReSb
_chemical_formula_sum 'Sr4 Re2 Sb2'
_space_group_name_H-M_alt 'I -4 m 2'
_space_group_IT_number 119
_space_group_name_Hall 'I -4 -2'
_cell_length_a 5.242
_cell_length_b 5.242
_cell_length_c 7.428
_cell_angle_alpha 90.00
_cell_angle_beta 90.00
_cell_angle_gamma 90.00
loop_
_atom_site_label
_atom_site_type_symbol
_atom_site_fract_x
_atom_site_fract_y
_atom_site_fract_z
Sr1 Sr 0.000 0.000 0.000
Sr2 Sr 0.000 0.500 0.250
Re1 Re 0.000 0.500 0.750
Sb1 Sb 0.000 0.000 0.500

Please write out number 1 again, unchanged.
# SrReSb2 PBE relaxed
# relative energy among the computed polymorphs = 0.546 eV per atom
data_SrReSb2
_chemical_formula_sum 'Sr1 Re1 Sb2'
_space_group_name_H-M_alt 'P 4/m m m'
_space_group_IT_number 123
_space_group_name_Hall '-P 4 2'
_cell_length_a 4.782
_cell_length_b 4.782
_cell_length_c 4.183
_cell_angle_alpha 90.00
_cell_angle_beta 90.00
_cell_angle_gamma 90.00
loop_
_atom_site_label
_atom_site_type_symbol
_atom_site_fract_x
_atom_site_fract_y
_atom_site_fract_z
Sr1 Sr 0.000 0.000 0.000
Re1 Re 0.500 0.500 0.000
Sb1 Sb 0.000 0.500 0.500